No. 1
Below is a geometry-optimized NaZnTc3 structure, with properties calculated at the PBE-GGA level.

Structure (extended XYZ):
```
5
Lattice="4.511 0.000 0.000 0.000 4.511 0.000 0.000 0.000 4.511" Properties=species:S:1:pos:R:3 pbc="T T T"
Na 0.000 0.000 0.000
Zn 2.256 2.256 2.256
Tc 0.000 0.000 2.256
Tc 0.000 2.256 0.000
Tc 2.256 0.000 0.000
```

Output
Total magnetic moment = 4.6 μB/cell
ΔH_f (0 K) = 2.496 eV/atom

---

No. 2
Below is a geometry-optimized NaZnTc3 structure, with properties calculated at the PBE-GGA level.

Structure (extended XYZ):
```
5
Lattice="4.644 0.000 0.000 0.000 4.644 0.000 0.000 0.000 4.644" Properties=species:S:1:pos:R:3 pbc="T T T"
Na 0.000 0.000 0.000
Zn 2.322 2.322 2.322
Tc 0.000 2.322 2.322
Tc 2.322 0.000 2.322
Tc 2.322 2.322 0.000
```

Output
Total magnetic moment = 4.0 μB/cell
ΔH_f (0 K) = 1.810 eV/atom

---

No. 3
Below is a geometry-optimized Na2ZnTc2 structure, with properties calculated at the PBE-GGA level.

Structure (extended XYZ):
```
5
Lattice="-1.783 1.783 7.399 1.783 -1.783 7.399 1.783 1.783 -7.399" Properties=species:S:1:pos:R:3 pbc="T T T"
Na 1.783 0.000 3.699
Na 0.000 1.783 3.699
Zn 0.000 0.000 0.000
Tc 0.000 0.000 6.300
Tc 0.000 0.000 8.497
```

Output
Total magnetic moment = 0.2 μB/cell
ΔH_f (0 K) = 0.975 eV/atom

---

No. 4
Below is a geometry-optimized NaZn2Tc2 structure, with properties calculated at the PBE-GGA level.

Structure (extended XYZ):
```
10
Lattice="7.966 0.000 0.000 0.000 7.966 0.000 0.000 0.000 2.679" Properties=species:S:1:pos:R:3 pbc="T T T"
Na 0.000 0.000 0.000
Na 3.983 3.983 0.000
Zn 1.485 2.498 0.000
Zn 2.498 6.481 0.000
Zn 5.468 1.485 0.000
Zn 6.481 5.468 0.000
Tc 0.832 4.815 1.339
Tc 3.151 0.832 1.339
Tc 4.815 7.134 1.339
Tc 7.134 3.151 1.339
```

Output
Total magnetic moment = 0.0 μB/cell
ΔH_f (0 K) = 0.283 eV/atom

---

No. 5
Below is a geometry-optimized Na4ZnTc2 structure, with properties calculated at the PBE-GGA level.

Structure (extended XYZ):
```
7
Lattice="-2.848 2.848 7.198 2.848 -2.848 7.198 2.848 2.848 -7.198" Properties=species:S:1:pos:R:3 pbc="T T T"
Na 2.848 0.000 0.000
Na 0.000 0.000 2.903
Na 0.000 2.848 0.000
Na 0.000 0.000 11.494
Zn 0.000 0.000 0.000
Tc 0.000 0.000 6.169
Tc 0.000 0.000 8.228
```

Output
Total magnetic moment = 2.3 μB/cell
ΔH_f (0 K) = 1.058 eV/atom

---

No. 6
Below is a geometry-optimized Na2ZnTc2 structure, with properties calculated at the PBE-GGA level.

Structure (extended XYZ):
```
10
Lattice="9.172 0.000 0.000 0.000 9.172 0.000 0.000 0.000 2.600" Properties=species:S:1:pos:R:3 pbc="T T T"
Na 1.855 2.731 0.000
Na 2.731 7.317 0.000
Na 6.440 1.855 0.000
Na 7.317 6.440 0.000
Zn 0.000 0.000 1.300
Zn 4.586 4.586 1.300
Tc 0.774 5.360 1.300
Tc 3.812 0.774 1.300
Tc 5.360 8.398 1.300
Tc 8.398 3.812 1.300
```

Output
Total magnetic moment = 0.0 μB/cell
ΔH_f (0 K) = 0.867 eV/atom

---

No. 7
Below is a geometry-optimized NaZnTc2 structure, with properties calculated at the PBE-GGA level.

Structure (extended XYZ):
```
8
Lattice="-1.826 1.826 10.005 1.826 -1.826 10.005 1.826 1.826 -10.005" Properties=species:S:1:pos:R:3 pbc="T T T"
Na 0.000 0.000 0.000
Na 0.000 1.826 5.003
Zn 1.826 0.000 5.003
Zn 0.000 0.000 10.005
Tc 0.913 -0.876 7.504
Tc 0.950 0.913 2.501
Tc 0.913 2.702 -2.501
Tc 0.876 0.913 12.506
```

Output
Total magnetic moment = 0.0 μB/cell
ΔH_f (0 K) = 0.806 eV/atom

---

No. 8
Below is a geometry-optimized NaZn2Tc structure, with properties calculated at the PBE-GGA level.

Structure (extended XYZ):
```
8
Lattice="-2.088 2.088 8.888 2.088 -2.088 8.888 2.088 2.088 -8.888" Properties=species:S:1:pos:R:3 pbc="T T T"
Na 0.000 0.000 0.000
Na 0.000 2.088 4.444
Zn 1.044 -0.775 6.666
Zn 1.313 1.044 2.222
Zn 1.044 2.863 -2.222
Zn 0.775 1.044 11.110
Tc 2.088 0.000 4.444
Tc 0.000 0.000 8.888
```

Output
Total magnetic moment = 1.0 μB/cell
ΔH_f (0 K) = 0.840 eV/atom

---

No. 9
Below is a geometry-optimized NaZn2Tc2 structure, with properties calculated at the PBE-GGA level.

Structure (extended XYZ):
```
10
Lattice="7.951 0.000 0.000 0.000 7.951 0.000 0.000 0.000 2.684" Properties=species:S:1:pos:R:3 pbc="T T T"
Na 0.000 0.000 0.000
Na 3.975 3.975 0.000
Zn 1.490 2.485 1.342
Zn 2.485 6.461 1.342
Zn 5.465 1.490 1.342
Zn 6.461 5.465 1.342
Tc 0.827 4.803 0.000
Tc 3.148 0.827 0.000
Tc 4.803 7.124 0.000
Tc 7.124 3.148 0.000
```

Output
Total magnetic moment = 0.0 μB/cell
ΔH_f (0 K) = 0.271 eV/atom

---

No. 10
Below is a geometry-optimized NaZr3Tc structure, with properties calculated at the PBE-GGA level.

Structure (extended XYZ):
```
5
Lattice="4.873 0.000 0.000 0.000 4.873 0.000 0.000 0.000 4.873" Properties=species:S:1:pos:R:3 pbc="T T T"
Na 0.000 0.000 0.000
Zr 0.000 0.000 2.437
Zr 0.000 2.437 0.000
Zr 2.437 0.000 0.000
Tc 2.437 2.437 2.437
```

Output
Total magnetic moment = 1.3 μB/cell
ΔH_f (0 K) = 1.839 eV/atom

---

No. 11
Below is a geometry-optimized NaZr2Tc2 structure, with properties calculated at the PBE-GGA level.

Structure (extended XYZ):
```
10
Lattice="7.853 0.000 0.000 0.000 7.853 0.000 0.000 0.000 3.225" Properties=species:S:1:pos:R:3 pbc="T T T"
Na 0.000 0.000 0.000
Na 3.927 3.927 0.000
Zr 1.169 2.758 1.613
Zr 2.758 6.685 1.613
Zr 5.095 1.169 1.613
Zr 6.685 5.095 1.613
Tc 1.095 5.021 0.000
Tc 2.832 1.095 0.000
Tc 5.021 6.759 0.000
Tc 6.759 2.832 0.000
```

Output
Total magnetic moment = 0.0 μB/cell
ΔH_f (0 K) = 0.232 eV/atom

---

No. 12
Below is a geometry-optimized NaZrTc2 structure, with properties calculated at the PBE-GGA level.

Structure (extended XYZ):
```
4
Lattice="0.000 3.271 3.271 3.271 0.000 3.271 3.271 3.271 0.000" Properties=species:S:1:pos:R:3 pbc="T T T"
Na 0.000 0.000 0.000
Zr 3.271 3.271 3.271
Tc 1.635 1.635 1.635
Tc 4.906 4.906 4.906
```

Output
Total magnetic moment = 0.0 μB/cell
ΔH_f (0 K) = 0.734 eV/atom